Entry 1:
PBE Pu2Ni12Ge3Pt, relaxed; DOS(E_F) = 35.32 states/eV/cell; ρ = 10.57 g cm⁻³; energy = -6.53 eV per atom; size of the total moment = 8.4 μB per formula unit
1.0
4.2559 2.4572 4.0199
-4.2559 2.4572 4.0199
0.0000 -4.9143 4.0199
Pu Ni Ge Pt
2 12 3 1
Cartesian
0.0000 0.0000 1.8584 Pu
0.0000 0.0000 10.2013 Pu
0.0000 -2.4035 3.2773 Ni
-2.0815 1.2017 3.2773 Ni
-2.1345 -1.2323 6.3955 Ni
0.0000 -2.4647 5.6642 Ni
-2.1345 1.2323 5.6642 Ni
-2.0815 -1.2017 8.7824 Ni
2.0815 1.2017 3.2773 Ni
2.1345 -1.2323 6.3955 Ni
0.0000 2.4647 6.3955 Ni
2.1345 1.2323 5.6642 Ni
2.0815 -1.2017 8.7824 Ni
0.0000 2.4035 8.7824 Ni
-2.1280 -1.2286 4.0199 Ge
-2.1280 1.2286 8.0398 Ge
0.0000 2.4572 4.0199 Ge
0.0000 0.0000 6.0299 Pt

***

Entry 2:
PBE Pu2NiGe3Pt4, relaxed; DOS(E_F) = 28.14 states/eV/cell; ρ = 13.83 g cm⁻³; energy = -7.88 eV per atom; size of the total moment = 10.7 μB per formula unit
1.0
4.1618 0.0000 0.0000
0.0000 4.1618 0.0000
0.0000 0.0000 10.7066
Pu Ni Ge Pt
2 1 3 4
Cartesian
0.0000 2.0809 2.5360 Pu
2.0809 0.0000 8.1707 Pu
2.0809 2.0809 0.0000 Ni
0.0000 0.0000 0.0000 Ge
0.0000 2.0809 6.8082 Ge
2.0809 0.0000 3.8985 Ge
0.0000 0.0000 5.3533 Pt
0.0000 2.0809 9.2446 Pt
2.0809 0.0000 1.4620 Pt
2.0809 2.0809 5.3533 Pt

***

Computed values of E_form (unit: eV/atom) for the preceding records, in sequence: 0.02 -0.63.